Mn3H2N | GGA-PBE | optimized geometry

```
data_Mn3H2N
_chemical_formula_sum 'Mn6 H4 N2'
_symmetry_space_group_name_H-M 'P 1'
_symmetry_Int_Tables_number 1
_cell_length_a 4.782
_cell_length_b 4.782
_cell_length_c 4.788
_cell_angle_alpha 99.56
_cell_angle_beta 99.56
_cell_angle_gamma 120.08
loop_
_symmetry_equiv_pos_as_xyz
'x,y,z'
loop_
_atom_site_label
_atom_site_fract_x
_atom_site_fract_y
_atom_site_fract_z
_atom_site_occupancy
Mn1 0.078 0.412 0.250 1
Mn2 0.913 0.584 0.752 1
H1 0.833 0.167 0.500 1
Mn3 0.753 0.749 0.248 1
Mn4 0.251 0.247 0.752 1
H2 0.333 0.667 0.000 1
H3 0.499 0.501 0.500 1
N1 0.667 0.333 0.000 1
H4 0.167 0.833 0.500 1
Mn5 0.588 0.922 0.750 1
N2 0.999 0.001 0.000 1
Mn6 0.416 0.087 0.248 1
```

Output
The spin magnetization is 5.7 μB/f.u. As for the space group: C2/m, No. 12. The value obtained for the electronic total energy is -86.49 eV/cell.

---

MnH2N | GGA-PBE | optimized geometry

```
data_MnH2N
_chemical_formula_sum 'Mn1 H2 N1'
_symmetry_space_group_name_H-M 'P 1'
_symmetry_Int_Tables_number 1
_cell_length_a 3.272
_cell_length_b 3.272
_cell_length_c 3.272
_cell_angle_alpha 60.00
_cell_angle_beta 60.00
_cell_angle_gamma 60.00
loop_
_symmetry_equiv_pos_as_xyz
'x,y,z'
loop_
_atom_site_label
_atom_site_fract_x
_atom_site_fract_y
_atom_site_fract_z
_atom_site_occupancy
N1 0.000 0.000 0.000 1
Mn1 0.500 0.500 0.500 1
H1 0.750 0.750 0.750 1
H2 0.250 0.250 0.250 1
```

Output
The spin magnetization is 3.6 μB/f.u. Its relative energy among the computed polymorphs is 1090.1 meV per atom. As for the space group: Fm-3m, No. 225.

---

MnH2N | GGA-PBE | optimized geometry

```
data_MnH2N
_chemical_formula_sum 'Mn1 H2 N1'
_symmetry_space_group_name_H-M 'P 1'
_symmetry_Int_Tables_number 1
_cell_length_a 2.858
_cell_length_b 2.858
_cell_length_c 3.672
_cell_angle_alpha 67.10
_cell_angle_beta 67.10
_cell_angle_gamma 60.00
loop_
_symmetry_equiv_pos_as_xyz
'x,y,z'
loop_
_atom_site_label
_atom_site_fract_x
_atom_site_fract_y
_atom_site_fract_z
_atom_site_occupancy
H1 0.733 0.733 0.800 1
Mn1 0.000 0.000 0.000 1
N1 0.500 0.500 0.500 1
H2 0.267 0.267 0.200 1
```

Output
The spin magnetization is 2.2 μB/f.u. Its relative energy among the computed polymorphs is 947.6 meV per atom. As for the space group: R-3m, No. 166.

---

Mn4HN2 | GGA-PBE | optimized geometry

```
data_Mn4HN2
_chemical_formula_sum 'Mn8 H2 N4'
_symmetry_space_group_name_H-M 'P 1'
_symmetry_Int_Tables_number 1
_cell_length_a 5.586
_cell_length_b 5.586
_cell_length_c 5.584
_cell_angle_alpha 120.00
_cell_angle_beta 120.00
_cell_angle_gamma 90.03
loop_
_symmetry_equiv_pos_as_xyz
'x,y,z'
loop_
_atom_site_label
_atom_site_fract_x
_atom_site_fract_y
_atom_site_fract_z
_atom_site_occupancy
Mn1 0.872 0.617 0.745 1
Mn2 0.867 0.622 0.245 1
Mn3 0.378 0.622 0.755 1
H1 0.250 0.750 0.500 1
N1 0.625 0.375 0.750 1
N2 0.625 0.375 0.250 1
N3 0.625 0.875 0.250 1
Mn4 0.872 0.128 0.255 1
H2 0.000 0.000 0.000 1
Mn5 0.383 0.128 0.255 1
Mn6 0.378 0.133 0.755 1
N4 0.125 0.375 0.750 1
Mn7 0.872 0.128 0.745 1
Mn8 0.378 0.622 0.245 1
```

Output
The spin magnetization is 7.5 μB/f.u. As for the space group: Fd-3m, No. 227. The value obtained for the electronic total energy is -115.47 eV/cell.

---

- Which value of spin magnetization does entry 2 give?
  3.6 μB/f.u.